# 1
A relaxed structure of Ag2Pd2Pt3. Source: the Alexandria database, functional PBE.

Results
The magnetization is 0.00 Bohr magnetons per cell. As for the crystal system: orthorhombic. Its calculated total energy is -33.8 eV/cell. The formation energy comes out at 0.06 eV/atom.

The structure in POSCAR format:
```
Ag2Pd2Pt3
1.0
-0.014 -2.546 -1.054
3.018 -1.172 2.791
-5.335 -3.163 7.714
Ag Pt Pd
2 3 2
Direct
0.000 0.853 0.294
0.000 0.147 0.706
0.500 0.569 0.862
0.000 0.000 0.000
0.500 0.431 0.138
0.500 0.711 0.579
0.500 0.289 0.421
```

---

# 2
A relaxed structure of AgPdPt2. Source: the Alexandria database, functional PBE.

Results
Its excess energy over the best structure of this formula in the dataset is 316.5 meV/atom. The magnetization is 0.00 Bohr magnetons per cell. As for the crystal system: tetragonal. Its calculated total energy is -37.9 eV/cell. The formation energy comes out at 0.29 eV/atom.

The structure in POSCAR format:
```
AgPdPt2
1.0
3.833 0.000 0.000
0.000 3.833 0.000
1.916 1.916 9.516
Pt Ag Pd
4 2 2
Direct
0.619 0.125 0.250
0.375 0.381 0.750
0.131 0.625 0.250
0.875 0.869 0.750
0.750 0.250 0.500
0.000 0.000 0.000
0.250 0.750 0.500
0.500 0.500 0.000
```

---

# 3
A relaxed structure of AgPd4Pt2. Source: the Alexandria database, functional PBE.

Results
Its excess energy over the best structure of this formula in the dataset is 0.0 meV/atom. The magnetization is 0.00 Bohr magnetons per cell. As for the crystal system: trigonal. Its calculated total energy is -35.8 eV/cell. The formation energy comes out at -0.02 eV/atom.

The structure in POSCAR format:
```
AgPd4Pt2
1.0
2.785 0.000 0.241
1.382 2.418 0.241
-0.011 -0.006 16.334
Pd Pt Ag
4 2 1
Direct
0.143 0.143 0.570
0.857 0.857 0.430
0.285 0.285 0.146
0.715 0.715 0.854
0.570 0.570 0.289
0.430 0.430 0.711
0.000 0.000 0.000
```

---

# 4
A relaxed structure of Ag2PdPt5. Source: the Alexandria database, functional PBE.

Results
The magnetization is 0.00 Bohr magnetons per cell. As for the crystal system: tetragonal. Its calculated total energy is -41.0 eV/cell. The formation energy comes out at 0.01 eV/atom.

The structure in POSCAR format:
```
Ag2PdPt5
1.0
-2.386 -0.031 3.142
-1.808 -3.213 -1.405
7.484 -3.177 3.176
Pt Ag Pd
5 2 1
Direct
0.380 0.880 0.760
0.620 0.120 0.240
0.500 0.500 0.000
0.120 0.620 0.240
0.880 0.380 0.760
0.250 0.250 0.501
0.750 0.750 0.499
0.000 0.000 0.000
```

---

# 5
A relaxed structure of AgPd3Pt3. Source: the Alexandria database, functional PBE.

Results
Its excess energy over the best structure of this formula in the dataset is 29.4 meV/atom. The magnetization is 0.00 Bohr magnetons per cell. As for the crystal system: hexagonal. Its calculated total energy is -70.3 eV/cell. The formation energy comes out at 0.20 eV/atom.

The structure in POSCAR format:
```
AgPd3Pt3
1.0
2.722 0.000 0.000
0.000 10.306 0.000
0.000 -5.153 8.925
Pd Ag Pt
6 2 6
Direct
0.750 0.732 0.850
0.750 0.118 0.268
0.250 0.882 0.732
0.250 0.268 0.150
0.250 0.850 0.118
0.750 0.150 0.882
0.250 0.667 0.333
0.750 0.333 0.667
0.250 0.070 0.627
0.750 0.627 0.557
0.750 0.930 0.373
0.250 0.373 0.443
0.250 0.557 0.930
0.750 0.443 0.070
```

---

# 6
A relaxed structure of AgPd6Pt5. Source: the Alexandria database, functional PBE.

Results
Its excess energy over the best structure of this formula in the dataset is 0.0 meV/atom. The magnetization is 0.00 Bohr magnetons per cell. As for the crystal system: orthorhombic. Its calculated total energy is -64.4 eV/cell. The formation energy comes out at -0.02 eV/atom.

The structure in POSCAR format:
```
AgPd6Pt5
1.0
-0.264 -3.863 -0.908
5.507 0.509 4.946
-6.276 1.629 3.607
Pt Pd Ag
5 6 1
Direct
0.000 0.663 0.337
0.500 0.171 0.829
0.000 0.337 0.663
0.500 0.500 0.500
0.500 0.829 0.171
0.748 0.248 0.248
0.248 0.081 0.416
0.752 0.584 0.919
0.752 0.919 0.584
0.248 0.416 0.081
0.252 0.752 0.752
0.000 0.000 0.000
```

---

# 7
A relaxed structure of Ag5Pd4Pt. Source: the Alexandria database, functional PBE.

Results
Its excess energy over the best structure of this formula in the dataset is 0.0 meV/atom. The magnetization is 0.00 Bohr magnetons per cell. As for the crystal system: triclinic. Its calculated total energy is -41.3 eV/cell. The formation energy comes out at -0.02 eV/atom.

The structure in POSCAR format:
```
Ag5Pd4Pt
1.0
4.686 0.786 -1.311
0.431 5.598 -1.288
0.051 -0.015 6.377
Pd Ag Pt
4 5 1
Direct
0.094 0.904 0.195
0.301 0.705 0.599
0.906 0.096 0.805
0.699 0.295 0.401
0.300 0.199 0.603
0.895 0.601 0.796
0.105 0.399 0.204
0.500 0.500 0.000
0.700 0.801 0.397
0.500 0.000 0.000
```

---

# 8
A relaxed structure of AgPd7Pt3. Source: the Alexandria database, functional PBE.

Results
The magnetization is 0.00 Bohr magnetons per cell. As for the crystal system: trigonal. Its calculated total energy is -56.4 eV/cell. The formation energy comes out at 0.08 eV/atom.

The structure in POSCAR format:
```
AgPd7Pt3
1.0
-5.737 -2.287 2.767
2.632 -4.609 1.647
-0.166 4.445 3.331
Pd Pt Ag
7 3 1
Direct
0.109 0.163 0.326
0.456 0.836 0.164
0.456 0.836 0.671
0.456 0.329 0.164
0.119 0.667 0.333
0.109 0.674 0.837
0.109 0.163 0.837
0.786 0.501 0.001
0.786 0.999 0.499
0.786 0.501 0.499
0.444 0.333 0.667
```

---

# 9
A relaxed structure of AgPd6Pt5. Source: the Alexandria database, functional PBE.

Results
Its excess energy over the best structure of this formula in the dataset is 6.3 meV/atom. The magnetization is 0.00 Bohr magnetons per cell. As for the crystal system: monoclinic. Its calculated total energy is -64.3 eV/cell. The formation energy comes out at -0.01 eV/atom.

The structure in POSCAR format:
```
AgPd6Pt5
1.0
-4.557 3.936 6.475
0.009 -1.810 3.557
4.856 2.163 3.328
Pt Pd Ag
5 6 1
Direct
0.500 0.165 0.670
0.000 0.669 0.661
0.500 0.835 0.330
0.000 0.331 0.339
0.500 0.500 0.000
0.750 0.750 0.000
0.251 0.916 0.665
0.251 0.581 0.335
0.749 0.084 0.335
0.749 0.419 0.665
0.250 0.250 0.000
0.000 0.000 0.000
```

---

# 10
A relaxed structure of Ag4PdPt4. Source: the Alexandria database, functional PBE.

Results
The magnetization is 0.00 Bohr magnetons per cell. As for the crystal system: tetragonal. Its calculated total energy is -40.5 eV/cell. The formation energy comes out at 0.03 eV/atom.

The structure in POSCAR format:
```
Ag4PdPt4
1.0
3.834 0.000 1.299
1.917 6.054 0.649
-0.025 0.000 6.383
Ag Pt Pd
4 4 1
Direct
0.334 0.000 0.333
0.666 0.667 0.000
0.666 0.000 0.667
0.334 0.333 0.000
0.000 0.660 0.340
0.000 0.340 0.660
0.660 0.340 0.340
0.340 0.660 0.660
0.000 0.000 0.000
```

---

# 11
A relaxed structure of AgPd4Pt4. Source: the Alexandria database, functional PBE.

Results
The magnetization is 0.00 Bohr magnetons per cell. As for the crystal system: tetragonal. Its calculated total energy is -47.9 eV/cell. The formation energy comes out at -0.01 eV/atom.

The structure in POSCAR format:
```
AgPd4Pt4
1.0
0.127 1.332 3.710
4.467 -3.191 3.089
4.109 4.768 0.243
Pt Pd Ag
4 4 1
Direct
0.000 0.335 0.665
0.000 0.665 0.335
0.665 0.335 0.335
0.335 0.665 0.665
0.332 0.000 0.335
0.668 0.665 0.000
0.668 0.000 0.665
0.332 0.335 0.000
0.000 0.000 0.000
```

---

# 12
A relaxed structure of Ag3Pd8Pt2. Source: the Alexandria database, functional PBE.

Results
The magnetization is 0.00 Bohr magnetons per cell. As for the crystal system: monoclinic. Its calculated total energy is -60.7 eV/cell. The formation energy comes out at 0.11 eV/atom.

The structure in POSCAR format:
```
Ag3Pd8Pt2
1.0
-2.616 0.865 0.151
-1.501 -5.814 7.286
3.319 9.946 0.542
Ag Pd Pt
3 8 2
Direct
0.500 0.000 0.000
0.000 0.227 0.953
0.000 0.773 0.047
0.000 0.416 0.831
0.500 0.376 0.251
0.000 0.847 0.710
0.000 0.153 0.290
0.000 0.584 0.169
0.500 0.077 0.664
0.500 0.624 0.749
0.500 0.923 0.336
0.500 0.723 0.443
0.500 0.277 0.557
```